{
  "formula": "Tb5Ho2ThSc",
  "functional": "PBE-GGA",
  "state": "relaxed",
  "e_form_ev_per_atom": 0.17,
  "space_group": "No. 36",
  "e_tot_ev_per_cell": -89.1,
  "lattice_angstrom": [[5.6535, 0.0000, 0.0000], [-2.8267, 10.8695, 0.0000], [0.0000, 0.0000, 9.4323]],
  "species": ["Th", "Th", "Tb", "Tb", "Tb", "Tb", "Tb", "Tb", "Tb", "Tb", "Tb", "Tb", "Ho", "Ho", "Ho", "Ho", "Sc", "Sc"],
  "frac_coords": [[0.5988, 0.1977, 0.9262], [0.4012, 0.8023, 0.4262], [0.0135, 0.0270, 0.0136], [0.7304, 0.4608, 0.8240], [0.3032, 0.6063, 0.7189], [0.3964, 0.7929, 0.0455], [0.6036, 0.2071, 0.5455], [0.5300, 0.0600, 0.2481], [0.4700, 0.9400, 0.7481], [0.6968, 0.3937, 0.2189], [0.9865, 0.9730, 0.5136], [0.2696, 0.5392, 0.3240], [0.1156, 0.2311, 0.3228], [0.8844, 0.7689, 0.8228], [0.8678, 0.7357, 0.2101], [0.1322, 0.2643, 0.7101], [0.8118, 0.6236, 0.5148], [0.1882, 0.3764, 0.0148]]
}